[1]
The following is a DFT calculation (GGA+U) of crystalline VZnF at its relaxed geometry.

```
data_VZnF
_symmetry_space_group_name_H-M 'A m m 2'
_symmetry_Int_Tables_number 38
_cell_length_a 12.952
_cell_length_b 2.909
_cell_length_c 4.715
_cell_angle_alpha 90.00
_cell_angle_beta 90.00
_cell_angle_gamma 90.00
loop_
_symmetry_equiv_pos_as_xyz
'x,y,z'
'-x,-y,z'
'-x,y,z'
'x,-y,z'
'x,y+1/2,z+1/2'
'-x,-y+1/2,z+1/2'
'-x,y+1/2,z+1/2'
'x,-y+1/2,z+1/2'
loop_
_atom_site_label
_atom_site_type_symbol
_atom_site_fract_x
_atom_site_fract_y
_atom_site_fract_z
V1 V 0.173 0.000 0.000
Zn1 Zn 0.000 0.000 0.375
Zn2 Zn 0.500 0.000 0.349
F1 F 0.276 0.000 0.345
```

***

[2]
The following is a DFT calculation (GGA+U) of crystalline VZnF3 at its relaxed geometry.

Properties
- energy above the most stable polymorph in this dataset (eV per atom) = 0.000

```
data_VZnF3
_symmetry_space_group_name_H-M 'P m -3 m'
_symmetry_Int_Tables_number 221
_symmetry_space_group_name_Hall '-P 4 2 3'
_cell_length_a 4.140
_cell_length_b 4.140
_cell_length_c 4.140
_cell_angle_alpha 90.00
_cell_angle_beta 90.00
_cell_angle_gamma 90.00
loop_
_atom_site_label
_atom_site_type_symbol
_atom_site_fract_x
_atom_site_fract_y
_atom_site_fract_z
V1 V 0.000 0.000 0.000
Zn1 Zn 0.500 0.500 0.500
F1 F 0.000 0.000 0.500
```

***

[3]
The following is a DFT calculation (GGA+U) of crystalline VZn2F at its relaxed geometry.

Properties
- energy above the most stable polymorph in this dataset (eV per atom) = 0.521

```
data_VZn2F
_symmetry_space_group_name_H-M 'F m -3 m'
_symmetry_Int_Tables_number 225
_symmetry_space_group_name_Hall '-F 4 2 3'
_cell_length_a 6.419
_cell_length_b 6.419
_cell_length_c 6.419
_cell_angle_alpha 90.00
_cell_angle_beta 90.00
_cell_angle_gamma 90.00
loop_
_atom_site_label
_atom_site_type_symbol
_atom_site_fract_x
_atom_site_fract_y
_atom_site_fract_z
V1 V 0.000 0.000 0.000
Zn1 Zn 0.250 0.250 0.250
F1 F 0.000 0.000 0.500
```

***

Which DFT total energy belongs to each record? In order, -4.19 -4.79 -2.76 eV per atom.